# 1
Entry from Alexandria: a relaxed FeGe3Cl crystal (PBE).

Properties
- E_tot: -24.6 eV for the cell shown
- Fermi-level density of states: 4.76 states/eV/f.u.
- Spin magnetization: 0.000 μB/cell
- ρ: 5280 kg/m3

abc: 4.5987 4.5987 4.5987
angles: 90.00 90.00 90.00
Space group Pm-3m (No. 221)
One atom of each set of equivalent atoms:
Fe 0.0000 0.0000 0.0000 x1
Ge 0.0000 0.0000 0.5000 x3
Cl 0.5000 0.5000 0.5000 x1


# 2
Entry from Alexandria: a relaxed SrVH crystal (PBE).

Properties
- E_tot: -13.2 eV for the cell shown
- Fermi-level density of states: 0.72 states/eV/f.u.
- Spin magnetization: 3.916 μB/cell
- ρ: 3858 kg/m3

abc: 3.9037 3.9037 3.9420
angles: 90.00 90.00 90.00
Space group P4/mmm (No. 123)
One atom of each set of equivalent atoms:
Sr 0.0000 0.0000 0.0000 x1
V 0.5000 0.5000 0.5000 x1
H 0.5000 0.5000 0.0000 x1


# 3
Entry from Alexandria: a relaxed CaZn8Ni2 crystal (PBE).

Properties
- Fermi-level density of states: 7.46 states/eV/f.u.
- Spin magnetization: 0.000 μB/cell
- Formation energy: 0.127 eV/atom
- ρ: 4804 kg/m3

abc: 5.3471 5.3471 8.2305
angles: 90.00 90.00 90.00
Space group P4/mmm (No. 123)
One atom of each set of equivalent atoms:
Ca 0.0000 0.0000 0.0000 x1
Zn 0.2518 0.2518 0.3133 x8
Ni 0.0000 0.5000 0.5000 x2


> The lowest Fermi-level density of states belongs to which entry?

SrVH


> Which formula does entry 1 have?

FeGe3Cl


> Which of these has the lowest Fermi-level density of states?

SrVH


Copy entry 1 word for word.
Entry from Alexandria: a relaxed FeGe3Cl crystal (PBE).

Properties
- E_tot: -24.6 eV for the cell shown
- Fermi-level density of states: 4.76 states/eV/f.u.
- Spin magnetization: 0.000 μB/cell
- ρ: 5280 kg/m3

abc: 4.5987 4.5987 4.5987
angles: 90.00 90.00 90.00
Space group Pm-3m (No. 221)
One atom of each set of equivalent atoms:
Fe 0.0000 0.0000 0.0000 x1
Ge 0.0000 0.0000 0.5000 x3
Cl 0.5000 0.5000 0.5000 x1